# Mn5Re

Crystalline Mn5Re at its relaxed geometry (PBE-GGA, Alexandria via LeMat-Bulk).

```
data_Mn5Re
_chemical_formula_sum 'Mn5 Re1'
_cell_length_a 4.6376
_cell_length_b 4.6376
_cell_length_c 4.6376
_cell_angle_alpha 60.00
_cell_angle_beta 60.00
_cell_angle_gamma 60.00
_space_group_name_H-M_alt 'P 1'
_space_group_IT_number 1
_space_group_name_Hall 'P 1'
loop_
_atom_site_label
_atom_site_fract_x
_atom_site_fract_y
_atom_site_fract_z
Mn1 0.0000 0.0000 0.0000
Mn2 0.3736 0.3736 0.3736
Mn3 0.3736 0.3736 0.8793
Mn4 0.3736 0.8793 0.3736
Mn5 0.8793 0.3736 0.3736
Re1 0.7500 0.7500 0.7500
```

Values from the calculation:
Total magnetization   0.3 μB/f.u.
E above lowest polymorph   0 meV/atom
Crystal system   cubic
Space-group type   F-43m (216)
E_tot   -58.18 eV/f.u.
DFT formation energy   19 meV per atom